{
  "formula": "Na3Co2SbO6",
  "functional": "PBE+U",
  "state": "relaxed",
  "energy_ev_per_atom": -5.479,
  "cell": [[2.6765, -4.6429, 0.0000], [2.6765, 4.6429, 0.0000], [-1.7829, 0.0000, 5.3291]],
  "species": ["Na", "Na", "Na", "Co", "Co", "Sb", "O", "O", "O", "O", "O", "O"],
  "fractional_positions": [[0.0000, 0.0000, 0.0000], [0.3265, 0.6735, 0.0000], [0.6735, 0.3265, 0.0000], [0.1659, 0.8341, 0.5000], [0.8341, 0.1659, 0.5000], [0.5000, 0.5000, 0.5000], [0.1151, 0.4320, 0.2916], [0.2535, 0.2535, 0.7085], [0.4320, 0.1151, 0.2916], [0.5680, 0.8849, 0.7084], [0.7465, 0.7465, 0.2915], [0.8849, 0.5680, 0.7084]]
}